## Sm2TmPaSb4 (GGA-PBE)

Data for Sm2TmPaSb4 after structural relaxation.

The total DFT energy (no corrections) comes out at -47.62 eV/f.u. The formation energy from raw total energies is -0.97 eV per atom.

Cell lengths 4.4093, 7.6181, 7.6558 Å; angles 109.38, 90.00, 90.00 degrees
Last column: magnetic moment on the atom in μB.
Positions (direct):
Sb 0.0000 0.7466 0.2408  -0.01
Sb 0.0000 0.2534 0.7592  -0.01
Sb 0.5000 0.7509 0.7571  -0.01
Sb 0.5000 0.2491 0.2429  -0.01
Pa 0.0000 0.0000 0.0000  0.67
Sm 0.0000 0.5000 0.5000  0.02
Sm 0.5000 0.0000 0.5000  0.01
Tm 0.5000 0.5000 0.0000  0.00

## Nd5ThGe4 (GGA-PBE)

Data for Nd5ThGe4 after structural relaxation.

The total DFT energy (no corrections) comes out at -55.40 eV/f.u. As for the formation energy: -567.1 meV per atom.

Cell lengths 4.4438, 8.0411, 9.9206 Å; angles 114.26, 102.94, 90.00 degrees
Positions (direct):
Nd 0.5000 0.5000 0.0000
Nd 0.8301 0.6048 0.6602
Nd 0.8379 0.1074 0.6759
Nd 0.1699 0.3952 0.3398
Nd 0.1621 0.8926 0.3241
Th 0.5000 0.0000 0.0000
Ge 0.0060 0.2598 0.0119
Ge 0.9940 0.7402 0.9881
Ge 0.6852 0.1665 0.3704
Ge 0.3148 0.8335 0.6296

## ZnSiSb2 (GGA-PBE)

Data for ZnSiSb2 after structural relaxation.

The total DFT energy (no corrections) comes out at -13.87 eV/f.u. The formation energy from raw total energies is 0.27 eV per atom.

Cell lengths 9.6553, 9.6553, 9.6553 Å; angles 21.00, 21.00, 21.00 degrees
Positions (direct):
Si 0.5094 0.5094 0.5094
Zn 0.2364 0.2364 0.2364
Sb 0.7809 0.7809 0.7809
Sb 0.9732 0.9732 0.9732

## InSb2Pt (GGA-PBE)

Data for InSb2Pt after structural relaxation.

The total DFT energy (no corrections) comes out at -17.55 eV/f.u. The formation energy from raw total energies is -0.13 eV per atom.

Cell lengths 4.0131, 4.0131, 7.4914 Å; angles 74.42, 74.42, 60.01 degrees
Positions (direct):
Sb 0.9841 0.9841 0.0448
Sb 0.7518 0.7518 0.7499
Pt 0.2520 0.2520 0.2427
In 0.5122 0.5122 0.4627